Compound: BaPrO3
Source: the Open Quantum Materials Database
Functional: PBE-GGA
Structure: relaxed

a b c (Å): 6.3354 6.3354 6.3354
angles (deg): 60.95 60.95 60.95
Fractional coordinates of all 10 atoms:
Ba (0.2500, 0.2500, 0.2500)
Ba (0.7500, 0.7500, 0.7500)
Pr (0.0000, 0.0000, 0.0000)
Pr (0.5000, 0.5000, 0.5000)
O (0.1622, 0.7500, 0.3378)
O (0.2500, 0.6622, 0.8378)
O (0.3378, 0.1622, 0.7500)
O (0.6622, 0.8378, 0.2500)
O (0.7500, 0.3378, 0.1622)
O (0.8378, 0.2500, 0.6622)

Calculated values
- Total magnetization: 1.0 μB per formula unit
- Space-group type: R-3c, No. 167

Compound: Tl2HgAuCl6
Source: the Open Quantum Materials Database
Functional: PBE-GGA
Structure: relaxed

a b c (Å): 7.3667 7.3667 7.3667
angles (deg): 60.00 60.00 60.00
Fractional coordinates of all 10 atoms:
Tl (0.2500, 0.2500, 0.2500)
Tl (0.7500, 0.7500, 0.7500)
Hg (0.0000, 0.0000, 0.0000)
Au (0.5000, 0.5000, 0.5000)
Cl (0.2542, 0.2542, 0.7458)
Cl (0.2542, 0.7458, 0.2542)
Cl (0.2542, 0.7458, 0.7458)
Cl (0.7458, 0.2542, 0.2542)
Cl (0.7458, 0.2542, 0.7458)
Cl (0.7458, 0.7458, 0.2542)

Calculated values
- Space-group type: Fm-3m, No. 225

Ordered uncorrected energy results: -6.86; -2.54; unit eV/atom.